Material: Ca2MnZnO4
Method: DFT, PBE with a Hubbard U
State: relaxed

Symmetry: P2/m
Total magnetization (μB/f.u.): 3.0
Final energy (eV per atom): -6.036

Cell: 3.1511 6.0191 5.7643 Å, 116.02 90.00 90.00°
Last column: nearest neighbours and their distance in Å.
Element x y z (fractional)
Ca 0.5000 0.0000 0.5000  6 O 2.35-2.37
Ca 0.0000 0.5000 0.5000  6 O 2.33-2.43
Mn 0.5000 0.5000 0.0000  4 O 2.09
Zn 0.0000 0.0000 0.0000  4 O 2.12
O 0.5000 0.2143 0.2399  2 Zn 2.12, 3 Ca 2.33-2.37
O 0.5000 0.7857 0.7601  2 Zn 2.12, 3 Ca 2.33-2.37
O 0.0000 0.2855 0.7727  2 Mn 2.09
O 0.0000 0.7145 0.2273  2 Mn 2.09